# 1
Material: ScNbF3
Method: DFT, meta-GGA SCAN
State: PBEsol geometry

Total energy = -13.3219 eV per atom
Raw formation energy = -1.72 eV/atom
M_tot = 4.8 μB/cell

Unit cell a=4.3128 b=4.3128 c=4.3128 alpha=90.00 beta=90.00 gamma=90.00
Closest atoms and distances in Å follow each position.
Space group Pm-3m (No. 221)
Asymmetric unit:
Sc: 0.0000 0.0000 0.0000 x1  12 F 3.05
Nb: 0.5000 0.5000 0.5000 x1  6 F 2.16
F: 0.0000 0.5000 0.5000 x3  2 Nb 2.16



# 2
Material: ScNbF2
Method: DFT, meta-GGA SCAN
State: PBEsol geometry

Total energy = -15.1474 eV per atom
Raw formation energy = -1.54 eV/atom
M_tot = 0.9 μB/cell

Unit cell a=2.9446 b=2.9446 c=22.6992 alpha=90.00 beta=90.00 gamma=120.00
Closest atoms and distances in Å follow each position.
Space group R-3m (No. 166, hexagonal axes)
Asymmetric unit:
Sc: 0.0000 0.0000 0.0000 x3  2 F 2.15
Nb: 0.0000 0.0000 0.5000 x3  6 F 2.36
F: 0.0000 0.0000 0.0948 x6  1 Sc 2.15, 3 Nb 2.36



# 3
Material: NbSeF9
Method: DFT, meta-GGA SCAN
State: PBEsol geometry

Total energy = -10.2429 eV per atom
Raw formation energy = -2.51 eV/atom
M_tot = 0.0 μB/cell

Unit cell a=12.9530 b=12.9530 c=14.6021 alpha=90.00 beta=90.00 gamma=120.00
Closest atoms and distances in Å follow each position.
Space group R3 (No. 146, hexagonal axes)
Asymmetric unit:
Nb: 0.0000 0.0000 0.0000 x3  6 F 1.87-1.99
Nb: 0.0743 0.7046 0.3088 x9  6 F 1.87-2.00
Se: 0.0000 0.0000 0.4859 x3  3 F 1.73
Se: 0.0339 0.2722 0.8138 x9  3 F 1.72-1.73
F: 0.0042 0.2886 0.0745 x9  1 Se 1.73
F: 0.0137 0.1174 0.4207 x9  1 Se 1.73
F: 0.0161 0.1272 0.9151 x9  1 Nb 1.99
F: 0.0186 0.4060 0.2138 x9  1 Se 1.73
F: 0.0658 0.5621 0.9043 x9  1 Nb 1.87
F: 0.0673 0.5747 0.3850 x9  1 Nb 1.98
F: 0.0755 0.6966 0.5658 x9  1 Nb 1.88
F: 0.0835 0.6976 0.0551 x9  1 Nb 1.87
F: 0.1304 0.1143 0.0674 x9  1 Nb 1.87
F: 0.1487 0.3730 0.8821 x9  1 Se 1.72
F: 0.1583 0.1382 0.5697 x9  1 Nb 2.00
F: 0.1887 0.4003 0.3877 x9  1 Nb 1.99